Record 1
Material: Li4MnCo2O7
Method: DFT, SCAN
State: PBEsol geometry

Cell and atoms, written as extended XYZ:
```
28
Lattice="4.8784 0.0979 -0.0584 -1.7221 5.3968 0.0641 -0.7209 -0.4555 8.4165" Properties=species:S:1:pos:R:3 pbc="T T T"
Li 0.3194 4.4814 3.0678
Li 0.3495 3.0936 0.6151
Li 2.8454 3.8302 1.8474
Li 2.0858 1.9456 7.8071
Li -0.4100 1.2090 6.5748
Li 2.1160 0.5578 5.3544
Li -0.3605 -0.2278 4.2082
Li -1.2215 2.4707 4.2403
Mn 1.2164 3.2290 5.4171
Mn 1.2190 1.8102 3.0050
Co 1.2200 0.3822 0.5919
Co -1.2216 3.8895 6.6496
Co 3.6570 1.1497 1.7726
Co 1.2154 4.6570 7.8302
O 1.9034 3.4525 3.6606
O 2.0283 2.0003 1.2607
O -0.3673 2.6516 2.4045
O 4.4516 1.2924 0.0427
O 1.2868 0.0740 7.2972
O 2.0316 4.8447 6.0916
O -0.3653 4.1467 4.9804
O 0.4038 0.1945 2.3305
O -2.0162 3.7468 8.3795
O 1.1486 4.9652 1.1249
O 0.4071 3.0389 7.1615
O 2.8026 2.3876 6.0177
O 0.5320 1.5867 4.7615
O 2.8006 0.8925 3.4417
```

Output
ΔE_f (raw) = -2.062 eV/atom
density of states at the Fermi level = 0.0 states/eV/f.u.
space-group type = P-1, No. 2


Record 2
Material: Li4MnCo2O7
Method: DFT, SCAN
State: PBEsol geometry

Cell and atoms, written as extended XYZ:
```
28
Lattice="2.8229 0.0000 0.0000 0.0000 4.9120 0.0387 -1.4115 -0.7603 16.1642" Properties=species:S:1:pos:R:3 pbc="T T T"
Mn 1.4115 2.4431 13.9180
Mn 0.0000 1.7086 2.2849
Co 0.0000 3.2776 11.5501
Co 1.4115 4.1088 9.2618
Co 0.0000 0.0429 6.9411
Co 1.4115 0.8741 4.6528
O 0.0000 3.2442 14.8828
O 1.4115 3.9619 12.6231
O 0.0000 -0.1491 10.3235
O 1.4115 0.6980 8.0451
O 0.0000 1.5406 5.7563
O 0.0000 3.1924 1.3059
O 1.4115 2.3660 3.4701
O 0.0000 1.7857 12.7328
O 1.4115 2.6111 10.4466
O 0.0000 3.4537 8.1578
O 1.4115 4.3008 5.8794
O 0.0000 0.1899 3.5798
O 1.4115 0.9593 14.8971
O 1.4115 0.9075 1.3201
Li 0.0000 0.0535 13.8962
Li 1.4115 0.7918 11.5419
Li 0.0000 1.6560 9.2492
Li 1.4115 2.4957 6.9538
Li 0.0000 3.3599 4.6610
Li 0.0000 0.0000 0.0000
Li 1.4115 4.0982 2.3067
Li 1.4115 2.4560 0.0194
```

Output
ΔE_f (raw) = -2.050 eV/atom
space-group type = C2/m, No. 12


Record 3
Material: Li2Mn3CoO8
Method: DFT, SCAN
State: PBEsol geometry

Cell and atoms, written as extended XYZ:
```
28
Lattice="-5.2766 0.9998 -1.5868 1.7535 -5.2678 0.7315 -2.5795 0.3644 8.8070" Properties=species:S:1:pos:R:3 pbc="T T T"
Li -2.1475 -2.9586 5.2770
Li -1.2958 0.1830 4.4241
Li -0.0060 0.0009 0.0206
Li -3.2011 -1.0516 0.1007
Mn -0.1789 -4.1010 2.8688
Mn -2.7729 -3.6095 2.0887
Mn -1.0409 -1.5113 2.5091
Mn -5.2540 -2.3651 6.0993
Mn -3.5220 -0.2670 6.5198
Mn -6.1160 0.2245 5.7397
Co -0.6339 -3.1724 0.1090
Co -4.2670 -0.9010 3.7398
O -1.7388 -3.8950 8.2660
O -1.2591 -4.5126 1.3435
O -1.6109 -3.0344 3.4447
O -0.4878 0.0689 1.6656
O -1.7776 0.2511 6.0691
O -4.3757 -3.3953 7.4730
O 0.2838 -2.6435 1.7180
O -2.0270 -2.2056 1.0231
O -4.2583 -2.5324 2.6829
O -2.6151 -1.2624 7.9004
O -3.6076 -1.7641 5.3307
O -5.9184 -1.3263 4.6358
O -5.2440 -0.7630 7.0755
O -2.4976 -0.3994 3.1103
O -4.3755 0.5428 5.0103
O -5.1345 0.1002 2.3173
```

Output
ΔE_f (raw) = -2.086 eV/atom
density of states at the Fermi level = 3.4 states/eV/f.u.
space-group type = P6_3mc, No. 186


| no. | E_tot (eV per atom) | E above lowest polymorph (eV per atom) |
| --- | --- | --- |
| 1 | -9.6363 | 0.000 |
| 2 | -9.6240 | 0.012 |
| 3 | -11.1360 | 0.064 |